MnZnF5, optimized geometry, DFT GGA+U; crystal system = monoclinic; polymorph energy (0 for the lowest one) = 0.11 eV/f.u.
1.0
5.329 -0.019 0.046
1.672 5.059 0.046
2.592 1.866 6.838
Mn F Zn
2 10 2
direct
0.537 0.463 0.250 Mn
0.463 0.537 0.750 Mn
0.710 0.325 0.556 F
0.779 0.694 0.146 F
0.325 0.710 0.056 F
0.306 0.221 0.354 F
0.694 0.779 0.646 F
0.221 0.306 0.854 F
0.860 0.140 0.250 F
0.140 0.860 0.750 F
0.675 0.290 0.944 F
0.290 0.675 0.444 F
0.000 0.000 0.000 Zn
0.000 0.000 0.500 Zn